No. 1
VASP calculation (PBE) on TiFe2Se2 after structural relaxation.

- Calculated density: 7.0 g/cm³
- VASP energy: -63.79 eV/cell
- Size of the total moment: 0.000 μB per atom

Cell and atoms, written as CIF:
```
data_TiFe2Se2
_cell_length_a 3.672
_cell_length_b 3.672
_cell_length_c 11.190
_cell_angle_alpha 90.00
_cell_angle_beta 90.00
_cell_angle_gamma 90.00
_symmetry_space_group_name_H-M 'I 4/m m m'
_symmetry_Int_Tables_number 139
_symmetry_space_group_name_Hall '-I 4 2'
loop_
_atom_site_label
_atom_site_fract_x
_atom_site_fract_y
_atom_site_fract_z
Ti1 0.000 0.000 0.000
Fe1 0.000 0.500 0.250
Se1 0.000 0.000 0.372
```

No. 2
VASP calculation (PBE) on TaP2Pt after structural relaxation.

- Calculated density: 11.4 g/cm³
- VASP energy: -88.33 eV/cell
- Size of the total moment: 0.000 μB per atom

Cell and atoms, written as CIF:
```
data_TaP2Pt
_cell_length_a 3.2018
_cell_length_b 3.2018
_cell_length_c 21.6279
_cell_angle_alpha 90.00
_cell_angle_beta 90.00
_cell_angle_gamma 120.00
_symmetry_space_group_name_H-M 'R 3 m'
_symmetry_Int_Tables_number 160
_symmetry_space_group_name_Hall 'R 3 -2"'
loop_
_atom_site_label
_atom_site_fract_x
_atom_site_fract_y
_atom_site_fract_z
Ta1 0.0000 0.0000 0.0000
P1 0.0000 0.0000 0.2548
P2 0.0000 0.0000 0.5059
Pt1 0.0000 0.0000 0.7688
```

No. 3
VASP calculation (PBE) on Mg2BeCr after structural relaxation.

- Calculated density: 2.7 g/cm³
- VASP energy: -14.57 eV/cell
- Size of the total moment: 0.906 μB per atom

Cell and atoms, written as CIF:
```
data_Mg2BeCr
_cell_length_a 2.934
_cell_length_b 4.262
_cell_length_c 5.493
_cell_angle_alpha 90.00
_cell_angle_beta 103.73
_cell_angle_gamma 90.00
_symmetry_space_group_name_H-M 'P 1 2/m 1'
_symmetry_Int_Tables_number 10
loop_
_symmetry_equiv_pos_as_xyz
'x,y,z'
'-x,-y,-z'
'-x,y,-z'
'x,-y,z'
loop_
_atom_site_label
_atom_site_fract_x
_atom_site_fract_y
_atom_site_fract_z
Mg1 0.090 0.000 0.260
Be1 0.500 0.500 0.500
Cr1 0.500 0.500 0.000
```

No. 4
VASP calculation (PBE) on Li2InAs2Pd5 after structural relaxation.

- Calculated density: 7.9 g/cm³
- VASP energy: -92.99 eV/cell
- Size of the total moment: 0.000 μB per atom

Cell and atoms, written as CIF:
```
data_Li2InAs2Pd5
_cell_length_a 9.526
_cell_length_b 9.526
_cell_length_c 3.751
_cell_angle_alpha 90.00
_cell_angle_beta 90.00
_cell_angle_gamma 90.00
_symmetry_space_group_name_H-M 'P 4/m b m'
_symmetry_Int_Tables_number 127
_symmetry_space_group_name_Hall '-P 4 2ab'
loop_
_atom_site_label
_atom_site_fract_x
_atom_site_fract_y
_atom_site_fract_z
Li1 0.169 0.331 0.000
In1 0.000 0.000 0.000
As1 0.131 0.631 0.000
Pd1 0.000 0.500 0.500
Pd2 0.071 0.796 0.500
```